# PrTm

An optimized crystal structure of PrTm (PBE, Alexandria via LeMat-Bulk).

a = 3.6039 Å, b = 3.6039 Å, c = 10.2046 Å
α = 90.00°, β = 90.00°, γ = 90.00°
Last column: nearest neighbours and their distance in Å.
Element x y z (fractional)
Pr1 0.2500 0.2500 0.1320  8 Pr 3.60-3.71, 4 Tm 3.61
Pr2 0.7500 0.7500 0.8680  8 Pr 3.60-3.71, 4 Tm 3.61
Tm1 0.2500 0.2500 0.6173  8 Tm 3.50-3.60, 4 Pr 3.61
Tm2 0.7500 0.7500 0.3827  8 Tm 3.50-3.60, 4 Pr 3.61

Formation energy, eV/atom: 0.0335
Total DFT energy (no corrections), eV/atom: -4.5920
Space group: No. 129
Relative energy among the computed polymorphs, eV per formula unit: 0.016
DOS(E_F), states/eV/f.u.: 3.028